Here is crystalline La3IrC2N6 at its relaxed geometry from the Alexandria database. Energies are from PBE.

Computed properties:
formation energy (no corrections) = -496 meV per atom
crystal system = trigonal
E_tot = -8.17 eV/atom
theoretical density = 7.2 Mg/m³
SG = P-3m1 (164)
magnetic moment = 0.000 μB per formula unit
N(E_F) = 0.216 states/eV/atom

Cell and atoms, written as POSCAR:
```
La3IrC2N6
1.0
5.298 0.000 0.000
-2.649 4.588 0.000
0.000 0.000 6.764
C N La Ir
2 6 3 1
Direct
0.667 0.333 0.723 C
0.333 0.667 0.277 C
0.365 0.182 0.728 N
0.182 0.365 0.272 N
0.635 0.818 0.272 N
0.182 0.818 0.272 N
0.818 0.635 0.728 N
0.818 0.182 0.728 N
0.000 0.000 0.000 La
0.667 0.333 0.332 La
0.333 0.667 0.668 La
0.000 0.000 0.500 Ir
```